1.
Below is a relaxed NdHgPd2 crystal, with properties calculated at the GGA-PBE level.

Results
Fermi-level density of states: 10.61 states/eV per cell
calculated total energy: -4.4054 eV/atom
calculated volume: 21.83 Å³/atom
calculated formation energy: -209 kJ/mol of formula units

Cell lengths 6.310, 7.297, 7.586 Å; angles 90.00, 90.00, 90.00 degrees
Element x y z (fractional)
Hg (0.173, 0.750, 0.100)
Hg (0.327, 0.750, 0.600)
Hg (0.827, 0.250, 0.900)
Hg (0.673, 0.250, 0.400)
Nd (0.167, 0.250, 0.534)
Nd (0.667, 0.750, 0.966)
Nd (0.333, 0.250, 0.034)
Nd (0.833, 0.750, 0.466)
Pd (0.951, 0.051, 0.202)
Pd (0.451, 0.949, 0.298)
Pd (0.049, 0.551, 0.798)
Pd (0.549, 0.449, 0.702)
Pd (0.451, 0.551, 0.298)
Pd (0.049, 0.949, 0.798)
Pd (0.549, 0.051, 0.702)
Pd (0.951, 0.449, 0.202)



2.
Below is a relaxed Nd3HgPd8 crystal, with properties calculated at the GGA-PBE level.

Results
Fermi-level density of states: 5.76 states/eV per cell
calculated total energy: -5.3881 eV/atom
calculated volume: 19.52 Å³/atom
calculated formation energy: -821 kJ/mol of formula units

Cell lengths 5.484, 5.484, 9.535 Å; angles 73.29, 73.29, 60.00 degrees
Element x y z (fractional)
Pd (0.938, 0.436, 0.689)
Pd (0.437, 0.942, 0.183)
Pd (0.688, 0.688, 0.936)
Pd (0.436, 0.938, 0.689)
Pd (0.188, 0.188, 0.436)
Pd (0.942, 0.437, 0.183)
Pd (0.437, 0.437, 0.183)
Pd (0.938, 0.938, 0.689)
Nd (0.991, 0.991, 0.028)
Nd (0.378, 0.378, 0.866)
Nd (0.508, 0.508, 0.477)
Hg (0.870, 0.870, 0.389)



3.
Below is a relaxed Nd2HgPd crystal, with properties calculated at the GGA-PBE level.

Results
ΔE to the lowest computed polymorph: 98 meV per atom
Fermi-level density of states: 3.37 states/eV per cell
calculated total energy: -4.2713 eV/atom
calculated volume: 29.13 Å³/atom
calculated formation energy: -198 kJ/mol of formula units

Cell lengths 4.096, 4.096, 8.361 Å; angles 75.82, 75.82, 60.00 degrees
Element x y z (fractional)
Hg (0.500, 0.500, 0.500)
Pd (0.000, 0.000, 0.000)
Nd (0.739, 0.739, 0.783)
Nd (0.261, 0.261, 0.217)



4.
Below is a relaxed NdHgPd crystal, with properties calculated at the GGA-PBE level.

Results
Fermi-level density of states: 1.50 states/eV per cell
calculated total energy: -4.0186 eV/atom
calculated volume: 23.21 Å³/atom
calculated formation energy: -173 kJ/mol of formula units

Cell lengths 3.828, 3.828, 5.469 Å; angles 110.49, 110.49, 90.00 degrees
Element x y z (fractional)
Hg (0.621, 0.621, 0.242)
Nd (0.944, 0.944, 0.887)
Pd (0.285, 0.285, 0.571)



5.
Below is a relaxed Nd11Hg9Pd4 crystal, with properties calculated at the GGA-PBE level.

Results
Fermi-level density of states: 18.98 states/eV per cell
calculated total energy: -3.7644 eV/atom
calculated volume: 26.30 Å³/atom
calculated formation energy: -1390 kJ/mol of formula units

Cell lengths 3.799, 13.425, 13.425 Å; angles 112.82, 90.00, 90.00 degrees
Element x y z (fractional)
Hg (0.500, 0.500, 0.500)
Hg (0.500, 0.370, 0.842)
Hg (0.500, 0.158, 0.630)
Hg (0.500, 0.215, 0.068)
Hg (0.500, 0.630, 0.158)
Hg (0.500, 0.932, 0.785)
Hg (0.500, 0.842, 0.370)
Hg (0.500, 0.785, 0.932)
Hg (0.500, 0.068, 0.215)
Nd (0.000, 0.168, 0.832)
Nd (0.000, 0.372, 0.628)
Nd (0.000, 0.300, 0.300)
Nd (0.000, 0.700, 0.700)
Nd (0.000, 0.628, 0.372)
Nd (0.000, 0.000, 0.000)
Nd (0.000, 0.929, 0.587)
Nd (0.000, 0.587, 0.929)
Nd (0.000, 0.413, 0.071)
Nd (0.000, 0.071, 0.413)
Nd (0.000, 0.832, 0.168)
Pd (0.500, 0.448, 0.250)
Pd (0.500, 0.750, 0.552)
Pd (0.500, 0.552, 0.750)
Pd (0.500, 0.250, 0.448)



6.
Below is a relaxed PmNdHgPd crystal, with properties calculated at the GGA-PBE level.

Results
Fermi-level density of states: 3.37 states/eV per cell
calculated total energy: -4.3260 eV/atom
calculated volume: 25.76 Å³/atom
calculated formation energy: -221 kJ/mol of formula units

Cell lengths 5.262, 5.262, 5.262 Å; angles 60.00, 60.00, 60.00 degrees
Element x y z (fractional)
Nd (0.750, 0.750, 0.750)
Pm (0.250, 0.250, 0.250)
Hg (0.500, 0.500, 0.500)
Pd (0.000, 0.000, 0.000)



7.
Below is a relaxed PrNdHgPd crystal, with properties calculated at the GGA-PBE level.

Results
Fermi-level density of states: 3.60 states/eV per cell
calculated total energy: -4.3154 eV/atom
calculated volume: 26.29 Å³/atom
calculated formation energy: -214 kJ/mol of formula units

Cell lengths 5.298, 5.298, 5.298 Å; angles 60.00, 60.00, 60.00 degrees
Element x y z (fractional)
Pr (0.250, 0.250, 0.250)
Pd (0.000, 0.000, 0.000)
Nd (0.750, 0.750, 0.750)
Hg (0.500, 0.500, 0.500)



8.
Below is a relaxed Nd2HgPd5Pt2 crystal, with properties calculated at the GGA-PBE level.

Results
Fermi-level density of states: 11.03 states/eV per cell
calculated total energy: -5.4523 eV/atom
calculated volume: 19.51 Å³/atom
calculated formation energy: -641 kJ/mol of formula units

Cell lengths 4.225, 9.610, 9.610 Å; angles 90.00, 90.00, 90.00 degrees
Element x y z (fractional)
Pd (0.500, 0.933, 0.203)
Pd (0.500, 0.000, 0.500)
Pd (0.500, 0.703, 0.433)
Pd (0.500, 0.067, 0.797)
Pd (0.500, 0.203, 0.067)
Pd (0.500, 0.433, 0.297)
Pd (0.500, 0.297, 0.567)
Pd (0.500, 0.500, 0.000)
Pd (0.500, 0.567, 0.703)
Pd (0.500, 0.797, 0.933)
Hg (0.000, 0.000, 0.000)
Hg (0.000, 0.500, 0.500)
Nd (0.000, 0.171, 0.329)
Nd (0.000, 0.329, 0.829)
Nd (0.000, 0.829, 0.671)
Nd (0.000, 0.671, 0.171)
Pt (0.000, 0.125, 0.625)
Pt (0.000, 0.875, 0.375)
Pt (0.000, 0.375, 0.125)
Pt (0.000, 0.625, 0.875)



9.
Below is a relaxed NdHgPdRh crystal, with properties calculated at the GGA-PBE level.

Results
Fermi-level density of states: 2.20 states/eV per cell
calculated total energy: -4.8984 eV/atom
calculated volume: 19.99 Å³/atom
calculated formation energy: -191 kJ/mol of formula units

Cell lengths 4.835, 4.835, 4.835 Å; angles 60.00, 60.00, 60.00 degrees
Element x y z (fractional)
Hg (0.750, 0.750, 0.750)
Nd (0.250, 0.250, 0.250)
Rh (0.500, 0.500, 0.500)
Pd (0.000, 0.000, 0.000)



10.
Below is a relaxed Nd2HgSb3Pd4 crystal, with properties calculated at the GGA-PBE level.

Results
uncorrected formation energy: -755 meV per atom
Fermi-level density of states: 4.55 states/eV per cell
calculated total energy: -5.0523 eV/atom
calculated volume: 22.55 Å³/atom

Cell lengths 4.485, 4.485, 11.208 Å; angles 90.00, 90.00, 90.00 degrees
Element x y z (fractional)
Sb (0.000, 0.500, 0.132)
Sb (0.000, 0.000, 0.500)
Sb (0.500, 0.000, 0.868)
Hg (0.500, 0.500, 0.500)
Pd (0.500, 0.500, 0.000)
Pd (0.000, 0.000, 0.000)
Pd (0.000, 0.500, 0.359)
Pd (0.500, 0.000, 0.641)
Nd (0.500, 0.000, 0.238)
Nd (0.000, 0.500, 0.762)



11.
Below is a relaxed NdSmHgPd crystal, with properties calculated at the GGA-PBE level.

Results
ΔE to the lowest computed polymorph: 19 meV per atom
Fermi-level density of states: 3.26 states/eV per cell
calculated total energy: -4.3232 eV/atom
calculated volume: 25.57 Å³/atom
calculated formation energy: -223 kJ/mol of formula units

Cell lengths 5.250, 5.250, 5.250 Å; angles 60.00, 60.00, 60.00 degrees
Element x y z (fractional)
Sm (0.750, 0.750, 0.750)
Nd (0.250, 0.250, 0.250)
Hg (0.500, 0.500, 0.500)
Pd (0.000, 0.000, 0.000)



12.
Below is a relaxed NdSmHgPd crystal, with properties calculated at the GGA-PBE level.

Results
ΔE to the lowest computed polymorph: 0 meV per atom
Fermi-level density of states: 3.47 states/eV per cell
calculated total energy: -4.3421 eV/atom
calculated volume: 26.42 Å³/atom
calculated formation energy: -230 kJ/mol of formula units

Cell lengths 3.927, 4.775, 5.969 Å; angles 90.00, 109.21, 90.00 degrees
Element x y z (fractional)
Hg (0.419, 0.000, 0.837)
Nd (0.859, 0.500, 0.717)
Pd (0.584, 0.500, 0.167)
Sm (0.139, 0.000, 0.278)



13.
Below is a relaxed Nd2Sn3HgPd4 crystal, with properties calculated at the GGA-PBE level.

Results
Fermi-level density of states: 6.39 states/eV per cell
calculated total energy: -4.9450 eV/atom
calculated volume: 22.65 Å³/atom
calculated formation energy: -659 kJ/mol of formula units

Cell lengths 4.544, 4.544, 10.968 Å; angles 90.00, 90.00, 90.00 degrees
Element x y z (fractional)
Sn (0.000, 0.000, 0.500)
Sn (0.000, 0.500, 0.126)
Sn (0.500, 0.000, 0.874)
Pd (0.500, 0.000, 0.639)
Pd (0.000, 0.500, 0.361)
Pd (0.500, 0.500, 0.000)
Pd (0.000, 0.000, 0.000)
Hg (0.500, 0.500, 0.500)
Nd (0.500, 0.000, 0.248)
Nd (0.000, 0.500, 0.752)



14.
Below is a relaxed Nd2SnHg2Pd4 crystal, with properties calculated at the GGA-PBE level.

Results
Fermi-level density of states: 5.36 states/eV per cell
calculated total energy: -4.0948 eV/atom
calculated volume: 24.64 Å³/atom
calculated formation energy: -187 kJ/mol of formula units

Cell lengths 6.977, 6.977, 6.977 Å; angles 82.41, 124.48, 124.48 degrees
Element x y z (fractional)
Nd (0.000, 0.701, 0.701)
Nd (0.000, 0.299, 0.299)
Sn (0.000, 0.000, 0.000)
Pd (0.567, 0.284, 0.284)
Pd (0.000, 0.716, 0.284)
Pd (0.433, 0.716, 0.716)
Pd (0.000, 0.284, 0.716)
Hg (0.500, 0.250, 0.750)
Hg (0.500, 0.750, 0.250)



15.
Below is a relaxed SrNdHgPd crystal, with properties calculated at the GGA-PBE level.

Results
Fermi-level density of states: 2.80 states/eV per cell
calculated total energy: -3.5032 eV/atom
calculated volume: 27.05 Å³/atom
calculated formation energy: -200 kJ/mol of formula units

Cell lengths 5.348, 5.348, 5.348 Å; angles 60.00, 60.00, 60.00 degrees
Element x y z (fractional)
Hg (0.500, 0.500, 0.500)
Sr (0.750, 0.750, 0.750)
Nd (0.250, 0.250, 0.250)
Pd (0.000, 0.000, 0.000)



16.
Below is a relaxed TbNdHgPd crystal, with properties calculated at the GGA-PBE level.

Results
Fermi-level density of states: 3.02 states/eV per cell
calculated total energy: -4.3186 eV/atom
calculated volume: 25.00 Å³/atom
calculated formation energy: -230 kJ/mol of formula units

Cell lengths 5.210, 5.210, 5.210 Å; angles 60.00, 60.00, 60.00 degrees
Element x y z (fractional)
Hg (0.500, 0.500, 0.500)
Nd (0.750, 0.750, 0.750)
Tb (0.250, 0.250, 0.250)
Pd (0.000, 0.000, 0.000)



17.
Below is a relaxed NdThHgPd crystal, with properties calculated at the GGA-PBE level.

Results
Fermi-level density of states: 3.80 states/eV per cell
calculated total energy: -4.8633 eV/atom
calculated volume: 25.98 Å³/atom
calculated formation energy: -171 kJ/mol of formula units

Cell lengths 5.277, 5.277, 5.277 Å; angles 60.00, 60.00, 60.00 degrees
Element x y z (fractional)
Nd (0.750, 0.750, 0.750)
Hg (0.500, 0.500, 0.500)
Th (0.250, 0.250, 0.250)
Pd (0.000, 0.000, 0.000)



18.
Below is a relaxed Nd4TlHg2Pd crystal, with properties calculated at the GGA-PBE level.

Results
Fermi-level density of states: 7.13 states/eV per cell
calculated total energy: -3.9086 eV/atom
calculated volume: 27.46 Å³/atom
calculated formation energy: -389 kJ/mol of formula units

Cell lengths 5.393, 5.393, 9.260 Å; angles 73.07, 73.07, 60.00 degrees
Element x y z (fractional)
Nd (0.384, 0.384, 0.848)
Nd (0.616, 0.616, 0.152)
Nd (0.132, 0.132, 0.605)
Nd (0.868, 0.868, 0.395)
Tl (0.000, 0.000, 0.000)
Hg (0.743, 0.743, 0.772)
Hg (0.257, 0.257, 0.228)
Pd (0.500, 0.500, 0.500)



19.
Below is a relaxed NdTmHgPd crystal, with properties calculated at the GGA-PBE level.

Results
Fermi-level density of states: 3.30 states/eV per cell
calculated total energy: -4.2856 eV/atom
calculated volume: 24.42 Å³/atom
calculated formation energy: -232 kJ/mol of formula units

Cell lengths 5.169, 5.169, 5.169 Å; angles 60.00, 60.00, 60.00 degrees
Element x y z (fractional)
Pd (0.000, 0.000, 0.000)
Nd (0.250, 0.250, 0.250)
Tm (0.750, 0.750, 0.750)
Hg (0.500, 0.500, 0.500)



20.
Below is a relaxed NdYHgPd crystal, with properties calculated at the GGA-PBE level.

Results
Fermi-level density of states: 3.12 states/eV per cell
calculated total energy: -4.7832 eV/atom
calculated volume: 24.94 Å³/atom
calculated formation energy: -232 kJ/mol of formula units

Cell lengths 5.206, 5.206, 5.206 Å; angles 60.00, 60.00, 60.00 degrees
Element x y z (fractional)
Pd (0.000, 0.000, 0.000)
Y (0.750, 0.750, 0.750)
Nd (0.250, 0.250, 0.250)
Hg (0.500, 0.500, 0.500)



21.
Below is a relaxed Nd2Zn3HgPd4 crystal, with properties calculated at the GGA-PBE level.

Results
Fermi-level density of states: 5.66 states/eV per cell
calculated total energy: -4.0020 eV/atom
calculated volume: 20.02 Å³/atom
calculated formation energy: -539 kJ/mol of formula units

Cell lengths 4.222, 4.222, 11.233 Å; angles 90.00, 90.00, 90.00 degrees
Element x y z (fractional)
Zn (0.500, 0.000, 0.875)
Zn (0.000, 0.500, 0.125)
Zn (0.000, 0.000, 0.500)
Hg (0.500, 0.500, 0.500)
Pd (0.000, 0.000, 0.000)
Pd (0.500, 0.500, 0.000)
Pd (0.500, 0.000, 0.655)
Pd (0.000, 0.500, 0.345)
Nd (0.500, 0.000, 0.243)
Nd (0.000, 0.500, 0.757)



22.
Below is a relaxed Pm2Nd2Hg5 crystal, with properties calculated at the GGA-PBE level.

Results
Fermi-level density of states: 14.17 states/eV per cell
calculated total energy: -2.6290 eV/atom
calculated volume: 29.63 Å³/atom
calculated formation energy: -301 kJ/mol of formula units

Cell lengths 7.649, 8.571, 9.195 Å; angles 117.78, 90.00, 90.00 degrees
Element x y z (fractional)
Hg (0.640, 0.299, 0.281)
Hg (0.360, 0.982, 0.281)
Hg (0.860, 0.518, 0.719)
Hg (0.140, 0.482, 0.281)
Hg (0.140, 0.201, 0.719)
Hg (0.640, 0.018, 0.719)
Hg (0.500, 0.500, 0.000)
Hg (0.000, 0.000, 0.000)
Hg (0.860, 0.799, 0.281)
Hg (0.360, 0.701, 0.719)
Nd (0.500, 0.696, 0.392)
Nd (0.000, 0.196, 0.392)
Nd (0.000, 0.804, 0.608)
Nd (0.500, 0.304, 0.608)
Pm (0.856, 0.338, 0.000)
Pm (0.356, 0.162, 0.000)
Pm (0.144, 0.662, 0.000)
Pm (0.644, 0.838, 0.000)



23.
Below is a relaxed PmNd2Hg crystal, with properties calculated at the GGA-PBE level.

Results
ΔE to the lowest computed polymorph: 0 meV per atom
Fermi-level density of states: 5.11 states/eV per cell
calculated total energy: -3.8744 eV/atom
calculated volume: 31.65 Å³/atom
calculated formation energy: -88 kJ/mol of formula units

Cell lengths 3.746, 3.746, 9.021 Å; angles 90.00, 90.00, 90.00 degrees
Element x y z (fractional)
Nd (0.000, 0.000, 0.221)
Nd (0.000, 0.000, 0.779)
Hg (0.500, 0.500, 0.000)
Pm (0.500, 0.500, 0.500)



24.
Below is a relaxed Pm6NdHg2 crystal, with properties calculated at the GGA-PBE level.

Results
ΔE to the lowest computed polymorph: 134 meV per atom
Fermi-level density of states: 11.98 states/eV per cell
calculated total energy: -3.8381 eV/atom
calculated volume: 33.23 Å³/atom
calculated formation energy: -64 kJ/mol of formula units

Cell lengths 5.148, 5.148, 11.286 Å; angles 90.00, 90.00, 90.00 degrees
Element x y z (fractional)
Hg (0.500, 0.500, 0.120)
Hg (0.500, 0.500, 0.880)
Pm (0.500, 0.000, 0.730)
Pm (0.000, 0.500, 0.270)
Pm (0.000, 0.000, 0.500)
Pm (0.500, 0.000, 0.270)
Pm (0.500, 0.500, 0.500)
Pm (0.000, 0.500, 0.730)
Nd (0.000, 0.000, 0.000)